(1)
Density functional theory data (GGA-PBE) for crystalline PtRhAu2 at its relaxed geometry.

Output
* DFT total energy: -4.476 eV per atom
* density of states at the Fermi level: 1.562 states/eV/atom
* excess energy over the best structure of this formula in the dataset: 445 meV per atom
* ΔE_f: 0.510 eV per atom

The structure in POSCAR format:
```
PtRhAu2
1.0
-3.663 3.663 2.708
3.663 -3.663 2.708
3.663 3.663 -2.708
Pt Rh Au
2 2 4
Cartesian
0.000 0.000 0.000
0.000 3.663 1.354
3.663 0.000 1.354
0.000 0.000 2.708
1.832 -1.816 2.031
1.847 1.832 0.677
1.832 5.479 -0.677
1.816 1.832 3.385
```

(2)
Density functional theory data (GGA-PBE) for crystalline ZrHRuRh2 at its relaxed geometry.

Output
* DFT total energy: -7.654 eV per atom
* density of states at the Fermi level: 0.898 states/eV/atom
* excess energy over the best structure of this formula in the dataset: 0 meV per atom

The structure in POSCAR format:
```
ZrHRuRh2
1.0
3.991 0.000 0.000
0.000 3.991 0.000
0.000 0.000 4.039
Zr H Ru Rh
1 1 1 2
Cartesian
0.000 0.000 0.000
1.996 1.996 2.020
1.996 1.996 0.000
0.000 1.996 2.020
1.996 0.000 2.020
```

(3)
Density functional theory data (GGA-PBE) for crystalline Ac3Ir at its relaxed geometry.

Output
* DFT total energy: -5.611 eV per atom
* density of states at the Fermi level: 1.222 states/eV/atom
* excess energy over the best structure of this formula in the dataset: 83 meV per atom
* ΔE_f: -0.314 eV per atom

The structure in POSCAR format:
```
Ac3Ir
1.0
-2.019 5.485 3.429
2.019 -5.485 3.429
2.019 5.485 -3.429
Ac Ir
3 1
Cartesian
0.000 0.000 0.000
2.019 3.518 0.052
0.000 1.967 3.481
0.000 5.485 1.267
```

(4)
Density functional theory data (GGA-PBE) for crystalline Sm2Cd3Ag5 at its relaxed geometry.

Output
* DFT total energy: -2.779 eV per atom
* density of states at the Fermi level: 0.582 states/eV/atom
* ΔE_f: -0.135 eV per atom

The structure in POSCAR format:
```
Sm2Cd3Ag5
1.0
-5.897 6.622 2.949
5.897 -6.622 2.949
5.897 6.622 -2.949
Sm Cd Ag
4 6 10
Cartesian
1.451 3.235 0.000
7.348 3.388 0.000
-1.451 3.235 2.949
4.446 3.388 2.949
4.438 1.898 0.000
0.000 0.000 1.474
4.438 -1.898 2.949
1.459 8.520 0.000
0.000 0.000 4.423
1.459 4.724 2.949
4.368 -4.643 2.949
2.958 6.622 -1.474
2.939 0.000 1.474
5.897 0.000 1.474
4.368 4.643 0.000
1.529 1.979 2.949
0.000 6.622 1.474
2.958 6.622 1.474
2.939 0.000 4.423
1.529 11.266 0.000
```

(5)
Density functional theory data (GGA-PBE) for crystalline U3Zn2Ga4 at its relaxed geometry.

Output
* DFT total energy: -5.535 eV per atom
* density of states at the Fermi level: 1.174 states/eV/atom
* ΔE_f: -0.144 eV per atom

The structure in POSCAR format:
```
U3Zn2Ga4
1.0
4.100 -7.103 0.000
4.100 7.103 0.000
0.000 0.000 5.791
U Zn Ga
6 4 8
Cartesian
0.000 0.000 1.448
0.000 0.000 4.343
4.100 2.344 1.448
4.100 2.344 4.343
4.100 -2.344 1.448
4.100 -2.344 4.343
2.727 4.706 0.000
5.474 4.706 2.895
2.727 -4.706 2.895
5.474 -4.706 0.000
2.760 4.726 2.895
2.711 0.022 0.000
5.440 4.726 0.000
2.711 -0.022 2.895
5.489 0.022 2.895
2.760 -4.726 0.000
5.489 -0.022 0.000
5.440 -4.726 2.895
```

(6)
Density functional theory data (GGA-PBE) for crystalline Dy3Y4Sc4 at its relaxed geometry.

Output
* DFT total energy: -5.830 eV per atom
* density of states at the Fermi level: 1.985 states/eV/atom
* ΔE_f: 0.078 eV per atom

The structure in POSCAR format:
```
Dy3Y4Sc4
1.0
17.379 -2.728 0.000
17.379 2.728 0.000
-0.331 0.000 3.379
Dy Y Sc
3 4 4
Cartesian
0.000 0.000 0.000
12.355 0.000 2.921
22.071 0.000 0.458
2.950 0.000 1.994
9.225 0.000 0.904
25.202 0.000 2.475
31.477 0.000 1.385
6.057 0.000 2.297
15.686 0.000 1.542
18.740 0.000 1.837
28.369 0.000 1.082
```

(7)
Density functional theory data (GGA-PBE) for crystalline Ni3SnI at its relaxed geometry.

Output
* raw formation energy: 0.848 eV per atom
* DFT total energy: -3.731 eV per atom
* density of states at the Fermi level: 0.797 states/eV/atom
* excess energy over the best structure of this formula in the dataset: 0 meV per atom

The structure in POSCAR format:
```
Ni3SnI
1.0
4.695 0.000 0.000
0.000 4.695 0.000
0.000 0.000 4.695
Ni Sn I
3 1 1
Cartesian
0.000 0.000 2.347
0.000 2.347 0.000
2.347 0.000 0.000
2.347 2.347 2.347
0.000 0.000 0.000
```

(8)
Density functional theory data (GGA-PBE) for crystalline TbHSe at its relaxed geometry.

Output
* DFT total energy: -4.729 eV per atom
* density of states at the Fermi level: 0.158 states/eV/atom

The structure in POSCAR format:
```
TbHSe
1.0
-1.935 1.935 3.919
1.935 -1.935 3.919
1.935 1.935 -3.919
Tb H Se
1 1 1
Cartesian
0.000 0.000 0.000
0.000 0.000 5.716
0.000 0.000 2.932
```

(9)
Density functional theory data (GGA-PBE) for crystalline ScTc2Sb at its relaxed geometry.

Output
* raw formation energy: 0.015 eV per atom
* DFT total energy: -7.782 eV per atom
* density of states at the Fermi level: 0.699 states/eV/atom

The structure in POSCAR format:
```
ScTc2Sb
1.0
3.147 0.000 0.000
0.000 4.562 0.000
-0.195 0.000 5.123
Sc Tc Sb
1 2 1
Cartesian
0.000 0.000 0.000
0.949 2.281 3.992
2.003 2.281 1.131
1.476 0.000 2.561
```

(10)
Density functional theory data (GGA-PBE) for crystalline Te3Pt at its relaxed geometry.

Output
* raw formation energy: 0.458 eV per atom
* DFT total energy: -3.409 eV per atom
* density of states at the Fermi level: 1.912 states/eV/atom

The structure in POSCAR format:
```
Te3Pt
1.0
5.396 0.000 0.000
0.000 5.396 0.000
0.000 0.000 5.396
Te Pt
3 1
Cartesian
0.000 0.000 2.698
0.000 2.698 0.000
2.698 0.000 0.000
0.000 0.000 0.000
```

(11)
Density functional theory data (GGA-PBE) for crystalline GaTeHI2 at its relaxed geometry.

Output
* DFT total energy: -2.293 eV per atom
* density of states at the Fermi level: 0.702 states/eV/atom
* excess energy over the best structure of this formula in the dataset: 0 meV per atom

The structure in POSCAR format:
```
GaTeHI2
1.0
5.912 0.000 0.000
0.000 5.912 0.000
0.000 0.000 3.943
Ga Te H I
1 1 1 2
Cartesian
0.000 0.000 0.000
2.956 2.956 0.000
2.956 2.956 1.972
0.000 2.956 1.972
2.956 0.000 1.972
```

(12)
Density functional theory data (GGA-PBE) for crystalline YAlCu2Pt4 at its relaxed geometry.

Output
* DFT total energy: -6.017 eV per atom
* density of states at the Fermi level: 0.453 states/eV/atom
* ΔE_f: -0.697 eV per atom

The structure in POSCAR format:
```
YAlCu2Pt4
1.0
2.199 1.269 7.681
-2.199 1.269 7.681
0.000 -2.539 7.681
Y Al Cu Pt
1 1 2 4
Cartesian
0.000 0.000 0.000
0.000 0.000 11.522
0.000 0.000 5.803
0.000 0.000 17.242
0.000 0.000 3.018
0.000 0.000 9.104
0.000 0.000 13.940
0.000 0.000 20.027
```

(13)
Density functional theory data (GGA-PBE) for crystalline PmY12Tm7 at its relaxed geometry.

Output
* DFT total energy: -5.345 eV per atom
* density of states at the Fermi level: 1.384 states/eV/atom
* excess energy over the best structure of this formula in the dataset: 41 meV per atom
* ΔE_f: 0.336 eV per atom

The structure in POSCAR format:
```
PmY12Tm7
1.0
9.305 5.372 2.224
-9.305 5.372 2.224
0.000 -10.745 2.224
Pm Y Tm
1 12 7
Cartesian
0.000 0.000 0.000
-7.354 -1.983 3.115
-1.960 -7.361 3.558
-4.851 2.061 2.877
-4.211 -3.171 3.796
0.641 -5.232 2.877
-5.395 5.377 3.558
5.395 -5.377 3.115
-0.641 5.232 3.796
4.211 3.171 2.877
4.851 -2.061 3.796
1.960 7.361 3.115
7.354 1.983 3.558
-2.820 -0.206 2.005
1.588 -2.339 2.005
1.232 2.545 2.005
0.000 0.000 3.337
-1.232 -2.545 4.668
-1.588 2.339 4.668
2.820 0.206 4.668
```

(14)
Density functional theory data (GGA-PBE) for crystalline CeSc2Sb at its relaxed geometry.

Output
* raw formation energy: -0.314 eV per atom
* DFT total energy: -5.993 eV per atom
* density of states at the Fermi level: 2.111 states/eV/atom
* excess energy over the best structure of this formula in the dataset: 184 meV per atom

The structure in POSCAR format:
```
CeSc2Sb
1.0
0.000 3.588 3.588
3.588 0.000 3.588
3.588 3.588 0.000
Ce Sc Sb
1 2 1
Cartesian
0.000 0.000 0.000
1.794 1.794 1.794
5.383 5.383 5.383
3.588 3.588 3.588
```

(15)
Density functional theory data (GGA-PBE) for crystalline TaBe2Tc at its relaxed geometry.

Output
* DFT total energy: -7.487 eV per atom
* density of states at the Fermi level: 0.661 states/eV/atom
* excess energy over the best structure of this formula in the dataset: 315 meV per atom
* ΔE_f: -0.069 eV per atom

The structure in POSCAR format:
```
TaBe2Tc
1.0
-1.930 1.930 3.319
1.930 -1.930 3.319
1.930 1.930 -3.319
Ta Be Tc
1 2 1
Cartesian
0.000 0.000 0.000
1.930 0.000 1.660
0.000 1.930 1.660
0.000 0.000 3.319
```

(16)
Density functional theory data (GGA-PBE) for crystalline Tl5Bi2Au at its relaxed geometry.

Output
* DFT total energy: -2.889 eV per atom
* density of states at the Fermi level: 0.468 states/eV/atom
* ΔE_f: -0.030 eV per atom

The structure in POSCAR format:
```
Tl5Bi2Au
1.0
8.048 -4.771 0.000
8.048 4.771 0.000
-1.564 0.000 6.408
Tl Bi Au
10 4 2
Cartesian
6.875 4.292 4.806
3.274 0.663 0.510
2.492 -0.663 3.714
5.194 1.054 5.478
8.557 1.054 4.135
5.976 -1.054 2.273
9.339 -1.054 0.931
12.041 0.663 2.694
11.259 -0.663 5.898
7.657 -4.292 1.602
5.922 2.327 2.217
9.392 2.327 0.987
5.140 -2.327 5.421
8.611 -2.327 4.191
3.242 2.386 3.204
4.024 -2.386 0.000
```

(17)
Density functional theory data (GGA-PBE) for crystalline TlIn4Pd7 at its relaxed geometry.

Output
* DFT total energy: -4.438 eV per atom
* density of states at the Fermi level: 0.384 states/eV/atom
* ΔE_f: -0.299 eV per atom

The structure in POSCAR format:
```
TlIn4Pd7
1.0
5.501 -2.516 0.000
5.501 2.516 0.000
-5.015 0.000 8.429
Tl In Pd
1 4 7
Cartesian
0.000 0.000 0.000
-0.586 0.000 5.609
3.387 0.000 1.901
2.601 0.000 6.528
6.574 0.000 2.820
-0.946 0.000 2.847
-2.261 0.000 7.682
1.604 0.000 3.982
5.501 0.000 0.000
4.384 0.000 4.447
8.249 0.000 0.747
6.934 0.000 5.582
```

(18)
Density functional theory data (GGA-PBE) for crystalline Sc2Ru2W at its relaxed geometry.

Output
* DFT total energy: -8.175 eV per atom
* density of states at the Fermi level: 1.202 states/eV/atom
* excess energy over the best structure of this formula in the dataset: 841 meV per atom
* ΔE_f: 0.659 eV per atom

The structure in POSCAR format:
```
Sc2Ru2W
1.0
-1.934 1.934 6.015
1.934 -1.934 6.015
1.934 1.934 -6.015
Sc Ru W
2 2 1
Cartesian
1.934 0.000 3.007
0.000 1.934 3.007
0.000 0.000 1.195
0.000 0.000 10.835
0.000 0.000 6.015
```

(19)
Density functional theory data (GGA-PBE) for crystalline YLuPb2 at its relaxed geometry.

Output
* DFT total energy: -4.992 eV per atom
* density of states at the Fermi level: 0.750 states/eV/atom
* ΔE_f: -0.392 eV per atom

The structure in POSCAR format:
```
YLuPb2
1.0
3.532 0.000 0.000
0.000 3.532 0.000
0.000 0.000 8.874
Y Lu Pb
1 1 2
Cartesian
0.000 0.000 0.000
0.000 0.000 4.437
1.766 1.766 2.260
1.766 1.766 6.614
```

(20)
Density functional theory data (GGA-PBE) for crystalline Tb2Ga5Rh3 at its relaxed geometry.

Output
* DFT total energy: -5.456 eV per atom
* density of states at the Fermi level: 0.415 states/eV/atom
* ΔE_f: -0.811 eV per atom

The structure in POSCAR format:
```
Tb2Ga5Rh3
1.0
-4.950 6.432 2.838
4.950 -6.432 2.838
4.950 6.432 -2.838
Tb Ga Rh
4 10 6
Cartesian
2.237 1.822 0.000
2.237 -1.822 2.838
2.713 8.253 0.000
2.713 4.610 2.838
4.950 -2.595 1.419
6.717 1.115 0.000
0.000 0.000 1.419
1.767 5.317 0.000
4.950 2.595 1.419
0.000 3.837 1.419
3.184 1.115 2.838
0.000 0.000 4.256
-1.767 5.317 2.838
0.000 9.027 1.419
4.091 -4.496 2.838
4.950 0.000 1.419
4.091 4.496 0.000
0.860 1.936 2.838
0.000 6.432 1.419
0.860 10.928 0.000
```